[1]
Here is a relaxed BaScGe2As crystal from Alexandria. Energies are from GGA-PBE.

```
BaScGe2As
1.0
5.3756 0.0000 0.0000
0.0000 5.3756 0.0000
0.0000 0.0000 5.0055
Ba Sc Ge As
1 1 2 1
Direct
0.0000 0.0000 0.0000
0.5000 0.5000 0.0000
0.0000 0.5000 0.5000
0.5000 0.0000 0.5000
0.5000 0.5000 0.5000
```

Values from the calculation:
crystal system: tetragonal
ΔH_f (0 K): -0.056 eV per atom
SG: P4/mmm (123)
magnetization: 0.00 μB/f.u.



[2]
Here is a relaxed Sr2TeHPt crystal from Alexandria. Energies are from GGA-PBE.

```
Sr2TeHPt
1.0
5.8243 0.0000 0.0000
0.0000 5.8243 0.0000
0.0000 0.0000 3.9248
Sr Te H Pt
2 1 1 1
Direct
0.0000 0.5000 0.0000
0.5000 0.0000 0.0000
0.0000 0.0000 0.5000
0.5000 0.5000 0.5000
0.5000 0.5000 0.0000
```

Values from the calculation:
crystal system: tetragonal
SG: P4/mmm (123)
E above lowest polymorph: 137 meV/atom
magnetization: 0.00 μB/f.u.



Copy entry 1 word for word.
Here is a relaxed BaScGe2As crystal from Alexandria. Energies are from GGA-PBE.

```
BaScGe2As
1.0
5.3756 0.0000 0.0000
0.0000 5.3756 0.0000
0.0000 0.0000 5.0055
Ba Sc Ge As
1 1 2 1
Direct
0.0000 0.0000 0.0000
0.5000 0.5000 0.0000
0.0000 0.5000 0.5000
0.5000 0.0000 0.5000
0.5000 0.5000 0.5000
```

Values from the calculation:
crystal system: tetragonal
ΔH_f (0 K): -0.056 eV per atom
SG: P4/mmm (123)
magnetization: 0.00 μB/f.u.



Q: What is the formula in the second record?
A: Sr2TeHPt



Q: magnetization of number 2 (Sr2TeHPt)?
A: 0.00 μB/f.u.